The following is a DFT calculation (GGA+U) of an optimized crystal structure of PrNbFe2O6.

a = 5.4907 Å, b = 5.5381 Å, c = 5.8174 Å
α = 62.03°, β = 89.73°, γ = 60.29°
Last column: nearest neighbours and their distance in Å.
Sites, in units of the cell vectors:
Pr (0.0000, 0.0000, 0.0000)  5 O 2.30-2.53
Nb (0.4812, 0.0309, 0.4610)  6 O 1.95-2.14
Fe (0.2737, 0.4539, 0.8394)  6 O 2.09-2.25
Fe (0.7764, 0.4481, 0.3413)  4 O 2.03-2.23
O (0.0891, 0.2771, 0.1503)  2 Fe 2.11-2.14, 1 Nb 2.14, 1 Pr 2.32
O (0.1960, 0.2379, 0.6257)  1 Nb 1.98
O (0.4250, 0.4882, 0.1736)  2 Fe 2.03-2.24, 1 Nb 2.14
O (0.5387, 0.5958, 0.6379)  1 Nb 1.97, 1 Fe 2.09
O (0.6397, 0.9372, 0.1651)  2 Fe 2.08-2.25, 1 Nb 2.09, 1 Pr 2.30
O (0.8480, 0.9324, 0.6347)  1 Nb 1.95

Computed properties:
* calculated total energy: -7.870 eV/atom
* space group: No. 1
* total magnetization: 8.00 μB per formula unit